No. 1
A plane-wave DFT calculation with GGA-PBE was carried out for an optimized crystal structure of Ac2PrAl4Au3.

CIF file:
```
data_Ac2PrAl4Au3
_cell_length_a 4.5413
_cell_length_b 4.5413
_cell_length_c 11.8487
_cell_angle_alpha 90.00
_cell_angle_beta 90.00
_cell_angle_gamma 90.00
_space_group_name_H-M_alt 'P -4 m 2'
_space_group_IT_number 115
loop_
_space_group_symop_operation_xyz
'x,y,z'
'y,-x,-z'
'-x,-y,z'
'-y,x,-z'
'-x,y,z'
'-y,-x,-z'
'x,-y,z'
'y,x,-z'
loop_
_atom_site_label
_atom_site_type_symbol
_atom_site_fract_x
_atom_site_fract_y
_atom_site_fract_z
_atom_site_occupancy
Ac1 Ac 0.0000 0.5000 0.2315 1
Pr1 Pr 0.0000 0.0000 0.5000 1
Al1 Al 0.0000 0.0000 0.0000 1
Al2 Al 0.0000 0.5000 0.6696 1
Al3 Al 0.5000 0.5000 0.0000 1
Au1 Au 0.0000 0.5000 0.8857 1
Au2 Au 0.5000 0.5000 0.5000 1
```



No. 2
# HgBi2Ir2 (GGA-PBE, relaxed)
# * energy relative to the lowest polymorph listed for this composition: 0.000 eV per formula unit
data_HgBi2Ir2
_cell_length_a 7.5952
_cell_length_b 7.5952
_cell_length_c 3.7833
_cell_angle_alpha 90.00
_cell_angle_beta 90.00
_cell_angle_gamma 90.00
_space_group_name_H-M_alt 'P 4/m b m'
_space_group_IT_number 127
_space_group_name_Hall '-P 4 2ab'
loop_
_atom_site_label
_atom_site_type_symbol
_atom_site_fract_x
_atom_site_fract_y
_atom_site_fract_z
_atom_site_occupancy
Hg1 Hg 0.0000 0.0000 0.0000 1
Bi1 Bi 0.1579 0.3421 0.5000 1
Ir1 Ir 0.1375 0.6375 0.0000 1



No. 3
A plane-wave DFT calculation with GGA-PBE was carried out for an optimized crystal structure of K2InOs.

CIF file:
```
data_K2InOs
_cell_length_a 3.7816
_cell_length_b 4.4785
_cell_length_c 11.7258
_cell_angle_alpha 90.00
_cell_angle_beta 90.00
_cell_angle_gamma 90.00
_space_group_name_H-M_alt 'C m m m'
_space_group_IT_number 65
_space_group_name_Hall '-C 2 2'
loop_
_atom_site_label
_atom_site_type_symbol
_atom_site_fract_x
_atom_site_fract_y
_atom_site_fract_z
_atom_site_occupancy
K1 K 0.0000 0.0000 0.2268 1
In1 In 0.0000 0.5000 0.5000 1
Os1 Os 0.0000 0.5000 0.0000 1
```



No. 4
A plane-wave DFT calculation with GGA-PBE was carried out for an optimized crystal structure of Ce4AlHg2.

CIF file:
```
data_Ce4AlHg2
_cell_length_a 3.1423
_cell_length_b 35.3627
_cell_length_c 3.1338
_cell_angle_alpha 90.00
_cell_angle_beta 90.00
_cell_angle_gamma 90.00
_space_group_name_H-M_alt 'C m m m'
_space_group_IT_number 65
_space_group_name_Hall '-C 2 2'
loop_
_atom_site_label
_atom_site_type_symbol
_atom_site_fract_x
_atom_site_fract_y
_atom_site_fract_z
_atom_site_occupancy
Ce1 Ce 0.0000 0.0648 0.0000 1
Ce2 Ce 0.0000 0.3578 0.5000 1
Al1 Al 0.0000 0.5000 0.5000 1
Hg1 Hg 0.0000 0.2132 0.0000 1
```



Number 1: energy of formation from the pure elements -573 meV/atom. Number 2: energy of formation from the pure elements 339 meV/atom. Number 3: energy of formation from the pure elements 962 meV/atom. Number 4: energy of formation from the pure elements -93 meV/atom.